The following is a DFT calculation (PBE-GGA) of a relaxed Na12Sr7Li crystal.

Results
Total energy   -1.10 eV per atom

Unit cell a=11.5143 b=11.5143 c=11.5143 alpha=109.47 beta=109.47 gamma=109.47
With the nearest neighbours (Å) after each atom.
Fractional coordinates of all 20 atoms:
Na1 0.2547 0.8887 0.6339  1 Na 3.56, 4 Sr 3.67-3.83
Na2 0.7453 0.1113 0.3660  1 Na 3.56, 4 Sr 3.67-3.83
Na3 0.6339 0.2547 0.8887  1 Na 3.56, 4 Sr 3.67-3.83
Na4 0.1113 0.3660 0.7453  1 Na 3.56, 4 Sr 3.67-3.83
Na5 0.6208 0.3660 0.2547  1 Na 3.56, 4 Sr 3.67-3.83
Na6 0.3660 0.2547 0.6208  1 Na 3.56, 4 Sr 3.67-3.83
Na7 0.2547 0.6208 0.3660  1 Na 3.56, 4 Sr 3.67-3.83
Na8 0.3660 0.7453 0.1113  1 Na 3.56, 4 Sr 3.67-3.83
Na9 0.8887 0.6339 0.2547  1 Na 3.56, 4 Sr 3.67-3.83
Na10 0.6339 0.7453 0.3792  1 Na 3.56, 4 Sr 3.67-3.83
Na11 0.3792 0.6339 0.7453  1 Na 3.56, 4 Sr 3.67-3.83
Na12 0.7453 0.3792 0.6339  1 Na 3.56, 4 Sr 3.67-3.83
Sr1 0.5000 0.5000 0.0000  8 Na 3.72-3.83
Sr2 0.5000 0.0000 0.5000  8 Na 3.72-3.83
Sr3 0.5000 0.5000 0.5000  6 Na 3.67
Sr4 0.0000 0.5000 0.0000  6 Na 3.67
Sr5 0.0000 0.0000 0.5000  6 Na 3.67
Sr6 0.0000 0.5000 0.5000  8 Na 3.72-3.83
Sr7 0.5000 0.0000 0.0000  6 Na 3.67
Li1 0.0000 0.0000 0.0000  8 Sr 5.76, 12 Na 5.93



The following is a DFT calculation (PBE-GGA) of a relaxed ZrAs2Cl crystal.

Results
Total energy   -5.47 eV per atom

Unit cell a=7.3144 b=7.3144 c=7.3144 alpha=153.03 beta=139.34 gamma=49.46
With the nearest neighbours (Å) after each atom.
Fractional coordinates of all 4 atoms:
Cl1 0.4883 0.4883 0.0000  2 Zr 2.61
As1 0.7677 0.2677 0.5000  2 As 2.49
As2 0.9046 0.9046 0.0000  2 As 2.49, 2 Zr 2.68
Zr1 0.3394 0.8394 0.5000  2 Cl 2.61, 2 As 2.68



The following is a DFT calculation (PBE-GGA) of a relaxed NbTcBi2 crystal.

Results
Total energy   -5.77 eV per atom

Unit cell a=6.5634 b=6.5634 c=7.6142 alpha=64.47 beta=64.47 gamma=90.00
With the nearest neighbours (Å) after each atom.
Fractional coordinates of all 8 atoms:
Bi1 0.8750 0.8919 0.7500  2 Tc 2.70, 2 Nb 2.84
Bi2 0.1081 0.6250 0.2500  2 Tc 2.70, 2 Nb 2.84
Bi3 0.3750 0.3581 0.7500  2 Tc 2.70, 2 Nb 2.84
Bi4 0.6419 0.1250 0.2500  2 Tc 2.70, 2 Nb 2.84
Tc1 0.0000 0.0000 0.0000  4 Bi 2.70
Tc2 0.7500 0.2500 0.5000  4 Bi 2.70
Nb1 0.2500 0.7500 0.5000  4 Bi 2.84
Nb2 0.5000 0.5000 0.0000  4 Bi 2.84



The following is a DFT calculation (PBE-GGA) of a relaxed RbSn2Pt crystal.

Results
Total energy   -4.18 eV per atom

Unit cell a=4.4436 b=4.4436 c=7.8935 alpha=73.65 beta=73.65 gamma=60.00
With the nearest neighbours (Å) after each atom.
Fractional coordinates of all 4 atoms:
Sn1 0.0449 0.0449 0.8654  3 Pt 2.74
Sn2 0.2874 0.2874 0.1377  3 Pt 2.78
Pt1 0.6691 0.6691 0.9927  6 Sn 2.74-2.78
Rb1 0.4986 0.4986 0.5042  6 Sn 3.72-3.75, 1 Pt 3.82



- Look up the total energy of the third one.
  -5.77 eV per atom